1.
Below is Sm7Ga2Rh2 after structural relaxation, with properties calculated at the PBE-GGA level.

Unit cell a=6.811 b=6.811 c=7.096 alpha=90.00 beta=90.00 gamma=109.01
Fractional coordinates of all 11 atoms:
Sm  0.000  0.000  0.000
Sm  0.000  0.500  0.262
Sm  0.000  0.500  0.738
Sm  0.500  0.000  0.262
Sm  0.500  0.000  0.738
Sm  0.500  0.500  0.257
Sm  0.500  0.500  0.743
Ga  0.164  0.164  0.500
Ga  0.836  0.836  0.500
Rh  0.295  0.705  0.000
Rh  0.705  0.295  0.000

## Properties
The calculation puts the calculated volume at 311 Å³ per cell. As for the magnetic moment: 0.000 μB/f.u. For the total energy, the calculation gives -5.286 eV/atom.

---

2.
Below is Pm2HoEr8 after structural relaxation, with properties calculated at the PBE-GGA level.

Unit cell a=9.327 b=9.327 c=7.912 alpha=105.05 beta=105.05 gamma=31.13
Fractional coordinates of all 11 atoms:
Pm  0.227  0.227  0.137
Pm  0.773  0.773  0.863
Ho  0.500  0.500  0.500
Er  0.045  0.045  0.228
Er  0.135  0.135  0.679
Er  0.319  0.319  0.592
Er  0.410  0.410  0.046
Er  0.590  0.590  0.954
Er  0.681  0.681  0.408
Er  0.865  0.865  0.321
Er  0.955  0.955  0.772

## Properties
The calculation puts the calculated volume at 343 Å³ per cell. Its energy above the lowest structure with this stoichiometry is 0.00 eV/f.u. As for the magnetic moment: 0.000 μB/f.u.

---

3.
Below is CaBS2N after structural relaxation, with properties calculated at the PBE-GGA level.

Unit cell a=5.351 b=5.351 c=4.626 alpha=90.00 beta=90.00 gamma=90.00
Fractional coordinates of all 5 atoms:
Ca  0.000  0.000  0.000
B  0.500  0.500  0.500
S  0.000  0.500  0.000
S  0.500  0.000  0.000
N  0.000  0.000  0.500

## Properties
The formation energy from raw total energies is 1.6382 eV per atom. The calculation puts the calculated volume at 132 Å³ per cell. Its energy above the lowest structure with this stoichiometry is 9.81 eV/f.u. As for the magnetic moment: 4.013 μB/f.u.